Pu2ZrTl3S6: relaxed, PBE-GGA. Values from VASP.

Structure (Quantum ESPRESSO input):
```
&SYSTEM
  ibrav = 0, nat = 12, ntyp = 4
/
ATOMIC_SPECIES
Pu 244.00 Pu.upf
Zr 91.22 Zr.upf
Tl 204.38 Tl.upf
S 32.06 S.upf
CELL_PARAMETERS angstrom
3.4511 -5.9658 0.0000
3.4511 5.9658 0.0000
-2.2888 0.0000 7.5206
ATOMIC_POSITIONS angstrom
Pu 3.4511 3.9817 0.0000
Pu 3.4511 -3.9817 0.0000
Zr 3.4511 0.0000 0.0000
Tl -1.1444 0.0000 3.7603
Tl 2.3067 2.0286 3.7603
Tl 2.3067 -2.0286 3.7603
S 0.0678 1.8881 6.0641
S 1.2703 0.0000 1.4878
S 0.0678 -1.8881 6.0641
S 4.5456 1.8881 1.4565
S 3.3431 0.0000 6.0328
S 4.5456 -1.8881 1.4565
```

Properties
volume = 25.8 A^3/atom
SG = C2/m, No. 12
spin magnetization = 11.0 μB per cell
total energy = -83.4 eV/cell